Arrangement P

Computed, not measured: crystalline DyY3O at its relaxed geometry at the PBE level of DFT.

Computed properties:
Crystal system ... cubic
Space-group type ... No. 221
Density ... 6.056 g/cm3

abc: 4.9607 4.9607 4.9607
angles: 90.00 90.00 90.00
Closest atoms and distances in Å follow each position.
Atoms (fractional coordinates):
Dy 0.0000 0.0000 0.0000  12 Y 3.51
Y 0.0000 0.5000 0.5000  2 O 2.48
Y 0.5000 0.0000 0.5000  2 O 2.48
Y 0.5000 0.5000 0.0000  2 O 2.48
O 0.5000 0.5000 0.5000  6 Y 2.48

Arrangement Q

Computed, not measured: crystalline DyY3O at its relaxed geometry at the PBE level of DFT.

Computed properties:
Crystal system ... orthorhombic
Space-group type ... No. 31
Density ... 5.818 g/cm3

abc: 7.1300 6.3257 5.6348
angles: 90.00 90.00 90.00
Closest atoms and distances in Å follow each position.
Atoms (fractional coordinates):
Dy 0.0000 0.1778 0.0000  1 O 2.44
Dy 0.5000 0.8222 0.5000  1 O 2.44
Y 0.0000 0.8268 0.4855  1 O 2.49
Y 0.2496 0.3574 0.4925  2 O 2.44
Y 0.2504 0.6426 0.9925  2 O 2.44
Y 0.5000 0.1732 0.9855  1 O 2.49
Y 0.7504 0.3574 0.4925  2 O 2.44
Y 0.7496 0.6426 0.9925  2 O 2.44
O 0.0000 0.4987 0.2409  1 Dy 2.44, 5 Y 2.44-2.49
O 0.5000 0.5013 0.7409  1 Dy 2.44, 5 Y 2.44-2.49

Which structure wins on stability? arrangement Q wins.

Arrangement P

Computed, not measured: crystalline DyY2O at its relaxed geometry at the PBE level of DFT.

Computed properties:
Crystal system ... tetragonal
Space-group type ... No. 123
Density ... 6.636 g/cm3

abc: 3.1954 3.1954 8.7328
angles: 90.00 90.00 90.00
Closest atoms and distances in Å follow each position.
Atoms (fractional coordinates):
Dy 0.0000 0.0000 0.0000  4 Dy 3.20
Y 0.5000 0.5000 0.3240  4 O 2.73
Y 0.5000 0.5000 0.6760  4 O 2.73
O 0.0000 0.0000 0.5000  8 Y 2.73

Arrangement Q

Computed, not measured: crystalline DyY2O at its relaxed geometry at the PBE level of DFT.

Computed properties:
Crystal system ... trigonal
Space-group type ... No. 166
Density ... 6.309 g/cm3

abc: 8.9456 8.9456 8.9456
angles: 22.73 22.73 22.73
Closest atoms and distances in Å follow each position.
Atoms (fractional coordinates):
Dy 0.0000 0.0000 0.0000  6 Dy 3.53, 6 Y 3.61
Y 0.2193 0.2193 0.2193  3 O 2.46
Y 0.7807 0.7807 0.7807  3 O 2.46
O 0.5000 0.5000 0.5000  6 Y 2.46

Which structure wins on stability? arrangement Q wins.

Arrangement P

Computed, not measured: crystalline Dy4OsPd at its relaxed geometry at the PBE level of DFT.

Computed properties:
Crystal system ... tetragonal
Space-group type ... No. 123
Density ... 9.820 g/cm3

abc: 4.8272 4.8272 6.8699
angles: 90.00 90.00 90.00
Closest atoms and distances in Å follow each position.
Atoms (fractional coordinates):
Dy 0.0000 0.5000 0.2408  2 Os 2.93, 2 Pd 3.00
Dy 0.0000 0.5000 0.7592  2 Os 2.93, 2 Pd 3.00
Dy 0.5000 0.0000 0.2408  2 Os 2.93, 2 Pd 3.00
Dy 0.5000 0.0000 0.7592  2 Os 2.93, 2 Pd 3.00
Os 0.0000 0.0000 0.0000  8 Dy 2.93
Pd 0.5000 0.5000 0.5000  8 Dy 3.00

Arrangement Q

Computed, not measured: crystalline Dy4OsPd at its relaxed geometry at the PBE level of DFT.

Computed properties:
Crystal system ... cubic
Space-group type ... No. 216
Density ... 10.464 g/cm3

abc: 9.4718 9.4718 9.4718
angles: 60.00 60.00 60.00
Closest atoms and distances in Å follow each position.
Atoms (fractional coordinates):
Dy 0.0549 0.0549 0.4451  2 Os 2.73
Dy 0.0549 0.4451 0.0549  2 Os 2.73
Dy 0.0549 0.4451 0.4451  2 Os 2.73
Dy 0.1893 0.1893 0.8107  2 Pd 3.04, 2 Dy 3.40
Dy 0.1893 0.8107 0.1893  2 Pd 3.04, 2 Dy 3.40
Dy 0.1893 0.8107 0.8107  2 Pd 3.04, 2 Dy 3.40
Dy 0.1988 0.6004 0.6004  3 Os 2.85
Dy 0.4451 0.0549 0.0549  2 Os 2.73
Dy 0.4451 0.0549 0.4451  2 Os 2.73
Dy 0.4451 0.4451 0.0549  2 Os 2.73
Dy 0.6004 0.1988 0.6004  3 Os 2.85
Dy 0.6004 0.6004 0.1988  3 Os 2.85
Dy 0.6004 0.6004 0.6004  3 Os 2.85
Dy 0.8107 0.1893 0.1893  2 Pd 3.04, 2 Dy 3.40
Dy 0.8107 0.1893 0.8107  2 Pd 3.04, 2 Dy 3.40
Dy 0.8107 0.8107 0.1893  2 Pd 3.04, 2 Dy 3.40
Os 0.3886 0.3886 0.3886  6 Dy 2.73-2.85
Os 0.3886 0.3886 0.8343  6 Dy 2.73-2.85
Os 0.3886 0.8343 0.3886  6 Dy 2.73-2.85
Os 0.8343 0.3886 0.3886  6 Dy 2.73-2.85
Pd 0.4766 0.8411 0.8411  6 Dy 3.04-3.34
Pd 0.8411 0.4766 0.8411  6 Dy 3.04-3.34
Pd 0.8411 0.8411 0.4766  6 Dy 3.04-3.34
Pd 0.8411 0.8411 0.8411  6 Dy 3.04-3.34

Which structure wins on stability? arrangement Q wins.

Arrangement P

Computed, not measured: crystalline PmDy2Os at its relaxed geometry at the PBE level of DFT.

Computed properties:
Crystal system ... trigonal
Space-group type ... No. 166
Density ... 9.582 g/cm3

abc: 11.1433 11.1433 11.1433
angles: 17.92 17.92 17.92
Closest atoms and distances in Å follow each position.
Atoms (fractional coordinates):
Pm 0.0000 0.0000 0.0000  6 Pm 3.47, 2 Dy 3.51
Dy 0.1067 0.1067 0.1067  3 Os 2.81
Dy 0.8933 0.8933 0.8933  3 Os 2.81
Os 0.5000 0.5000 0.5000  6 Dy 2.81

Arrangement Q

Computed, not measured: crystalline PmDy2Os at its relaxed geometry at the PBE level of DFT.

Computed properties:
Crystal system ... orthorhombic
Space-group type ... No. 63
Density ... 9.988 g/cm3

abc: 6.3877 6.3877 9.0842
angles: 90.00 90.00 143.68
Closest atoms and distances in Å follow each position.
Atoms (fractional coordinates):
Pm 0.0745 0.9255 0.7500  2 Os 2.86
Pm 0.9255 0.0745 0.2500  2 Os 2.86
Dy 0.3533 0.6467 0.5677  3 Os 2.91-3.12
Dy 0.3533 0.6467 0.9323  3 Os 2.91-3.12
Dy 0.6467 0.3533 0.0677  3 Os 2.91-3.12
Dy 0.6467 0.3533 0.4323  3 Os 2.91-3.12
Os 0.2560 0.7440 0.2500  2 Pm 2.86, 6 Dy 2.91-3.12
Os 0.7440 0.2560 0.7500  2 Pm 2.86, 6 Dy 2.91-3.12

Arrangement R

Computed, not measured: crystalline PmDy2Os at its relaxed geometry at the PBE level of DFT.

Computed properties:
Crystal system ... tetragonal
Space-group type ... No. 123
Density ... 10.093 g/cm3

abc: 3.4173 3.4173 9.3019
angles: 90.00 90.00 90.00
Closest atoms and distances in Å follow each position.
Atoms (fractional coordinates):
Pm 0.0000 0.0000 0.0000  4 Pm 3.42
Dy 0.5000 0.5000 0.3223  4 Os 2.93
Dy 0.5000 0.5000 0.6777  4 Os 2.93
Os 0.0000 0.0000 0.5000  8 Dy 2.93

Arrangement S

Computed, not measured: crystalline PmDy2Os at its relaxed geometry at the PBE level of DFT.

Computed properties:
Crystal system ... orthorhombic
Space-group type ... No. 62
Density ... 10.056 g/cm3

abc: 7.4462 9.1354 6.4110
angles: 90.00 90.00 90.00
Closest atoms and distances in Å follow each position.
Atoms (fractional coordinates):
Pm 0.0397 0.2500 0.1293  2 Os 2.81-2.92
Pm 0.4603 0.7500 0.6293  2 Os 2.81-2.92
Pm 0.5397 0.2500 0.3707  2 Os 2.81-2.92
Pm 0.9603 0.7500 0.8707  2 Os 2.81-2.92
Dy 0.1743 0.0643 0.6655  2 Os 2.85-2.95
Dy 0.1743 0.4357 0.6655  2 Os 2.85-2.95
Dy 0.3257 0.5643 0.1655  2 Os 2.85-2.95
Dy 0.3257 0.9357 0.1655  2 Os 2.85-2.95
Dy 0.6743 0.0643 0.8345  2 Os 2.85-2.95
Dy 0.6743 0.4357 0.8345  2 Os 2.85-2.95
Dy 0.8257 0.5643 0.3345  2 Os 2.85-2.95
Dy 0.8257 0.9357 0.3345  2 Os 2.85-2.95
Os 0.1157 0.7500 0.4519  2 Pm 2.81-2.92, 4 Dy 2.85-2.95
Os 0.3843 0.2500 0.9519  2 Pm 2.81-2.92, 4 Dy 2.85-2.95
Os 0.6157 0.7500 0.0481  2 Pm 2.81-2.92, 4 Dy 2.85-2.95
Os 0.8843 0.2500 0.5481  2 Pm 2.81-2.92, 4 Dy 2.85-2.95

Which structure wins on stability? arrangement S wins.

Arrangement P

Computed, not measured: crystalline PrDy2Os at its relaxed geometry at the PBE level of DFT.

Computed properties:
Crystal system ... trigonal
Space-group type ... No. 166
Density ... 9.239 g/cm3

abc: 11.1389 11.1389 11.1389
angles: 18.22 18.22 18.22
Closest atoms and distances in Å follow each position.
Atoms (fractional coordinates):
Pr 0.0000 0.0000 0.0000  6 Pr 3.53, 2 Dy 3.56
Dy 0.1082 0.1082 0.1082  3 Os 2.80
Dy 0.8918 0.8918 0.8918  3 Os 2.80
Os 0.5000 0.5000 0.5000  6 Dy 2.80

Arrangement Q

Computed, not measured: crystalline PrDy2Os at its relaxed geometry at the PBE level of DFT.

Computed properties:
Crystal system ... orthorhombic
Space-group type ... No. 62
Density ... 9.834 g/cm3

abc: 7.4802 9.1744 6.4576
angles: 90.00 90.00 90.00
Closest atoms and distances in Å follow each position.
Atoms (fractional coordinates):
Pr 0.0399 0.2500 0.1300  2 Os 2.84-2.97
Pr 0.4601 0.7500 0.6300  2 Os 2.84-2.97
Pr 0.5399 0.2500 0.3700  2 Os 2.84-2.97
Pr 0.9601 0.7500 0.8700  2 Os 2.84-2.97
Dy 0.1741 0.0651 0.6645  2 Os 2.84-2.94
Dy 0.1741 0.4349 0.6645  2 Os 2.84-2.94
Dy 0.3259 0.5651 0.1645  2 Os 2.84-2.94
Dy 0.3259 0.9349 0.1645  2 Os 2.84-2.94
Dy 0.6741 0.0651 0.8355  2 Os 2.84-2.94
Dy 0.6741 0.4349 0.8355  2 Os 2.84-2.94
Dy 0.8259 0.5651 0.3355  2 Os 2.84-2.94
Dy 0.8259 0.9349 0.3355  2 Os 2.84-2.94
Os 0.1154 0.7500 0.4459  2 Pr 2.84-2.97, 4 Dy 2.84-2.94
Os 0.3846 0.2500 0.9459  2 Pr 2.84-2.97, 4 Dy 2.84-2.94
Os 0.6154 0.7500 0.0541  2 Pr 2.84-2.97, 4 Dy 2.84-2.94
Os 0.8846 0.2500 0.5541  2 Pr 2.84-2.97, 4 Dy 2.84-2.94

Which structure wins on stability? arrangement Q wins.